[1]
NiHgSbTe2 after structural relaxation. Source: Alexandria, functional PBE.

The structure in extended XYZ format:
```
5
Lattice="-4.763 -2.627 -1.442 -1.190 -0.827 5.438 -2.675 4.773 0.140" Properties=species:S:1:pos:R:3 pbc="T T T"
Sb -1.337 2.386 0.070
Te -0.595 -0.413 2.719
Te -2.382 -1.314 -0.721
Ni -4.314 0.659 2.068
Hg 0.000 0.000 0.000
```

## Properties
* total moment: 0.208 μB per atom
* energy above the most stable polymorph in this dataset: 948 meV per atom
* space group: P4/mmm
* N(E_F): 2.05 states/eV/atom
* ΔE_f (raw): 1.24 eV per atom



[2]
Tl2NiHgSb after structural relaxation. Source: Alexandria, functional PBE.

The structure in extended XYZ format:
```
5
Lattice="-3.154 3.789 -1.746 -0.831 -2.715 -4.392 -3.916 -2.271 2.145" Properties=species:S:1:pos:R:3 pbc="T T T"
Tl -0.416 -1.358 -2.196
Tl -1.577 1.894 -0.873
Sb -1.958 -1.135 1.073
Hg -3.950 -0.598 -1.996
Ni 0.000 0.000 0.000
```

## Properties
* total moment: 0.000 μB per atom
* space group: P4/mmm
* N(E_F): 0.85 states/eV/atom
* ΔE_f (raw): 0.09 eV per atom



[3]
ScNiHg after structural relaxation. Source: Alexandria, functional PBE.

The structure in extended XYZ format:
```
6
Lattice="-0.663 -0.210 -3.359 2.452 -2.863 -0.305 -5.920 -5.417 3.259" Properties=species:S:1:pos:R:3 pbc="T T T"
Sc -4.513 -5.244 1.219
Sc 0.382 -3.247 -1.624
Hg -2.256 -5.576 -0.957
Hg -1.875 -2.914 0.553
Ni 0.077 -1.190 0.059
Ni -4.208 -7.301 -0.464
```

## Properties
* total moment: 0.000 μB per atom
* space group: Cmcm
* N(E_F): 0.64 states/eV/atom
* E_form: -0.4227 eV per atom



[4]
Sc5NiHg after structural relaxation. Source: Alexandria, functional PBE.

The structure in extended XYZ format:
```
14
Lattice="5.313 -0.372 -0.103 1.333 5.157 -0.103 2.408 1.733 10.877" Properties=species:S:1:pos:R:3 pbc="T T T"
Hg 5.521 3.147 8.055
Hg 3.532 3.371 2.616
Ni 0.000 0.000 0.000
Ni 1.204 0.867 5.439
Sc 5.807 5.522 9.925
Sc 3.233 0.915 4.075
Sc 5.821 5.603 6.596
Sc 5.957 2.876 1.158
Sc 3.178 3.629 6.184
Sc 3.246 0.996 0.745
Sc 3.097 3.642 9.513
Sc 3.189 6.386 8.055
Sc 5.875 2.889 4.487
Sc 5.864 0.131 2.616
```

## Properties
* total moment: 0.000 μB per atom
* space group: C2/c
* N(E_F): 1.23 states/eV/atom
* E_form: -0.1383 eV per atom



[5]
ScNiHg after structural relaxation. Source: Alexandria, functional PBE.

The structure in extended XYZ format:
```
3
Lattice="-1.211 4.987 0.021 -4.220 1.919 2.201 3.922 -3.168 0.954" Properties=species:S:1:pos:R:3 pbc="T T T"
Ni -1.748 2.223 0.715
Sc -3.708 4.715 1.517
Hg -5.406 6.873 2.212
```

## Properties
* total moment: 0.000 μB per atom
* space group: I4mm
* N(E_F): 0.47 states/eV/atom
* E_form: -0.3624 eV per atom



[6]
Sc4NiHg after structural relaxation. Source: Alexandria, functional PBE.

The structure in extended XYZ format:
```
6
Lattice="-4.368 1.041 -0.380 -0.655 -3.671 -2.530 -1.364 -3.661 5.666" Properties=species:S:1:pos:R:3 pbc="T T T"
Sc -2.568 -0.511 1.406
Sc -1.308 -4.466 2.806
Sc -0.712 -2.867 0.331
Sc -3.164 -2.110 3.881
Hg 0.000 0.000 0.000
Ni -3.194 -3.146 1.378
```

## Properties
* total moment: 0.000 μB per atom
* energy above the most stable polymorph in this dataset: 0 meV per atom
* space group: P4/mmm
* N(E_F): 0.99 states/eV/atom
* E_form: -0.1262 eV per atom



[7]
Sc3NiHg after structural relaxation. Source: Alexandria, functional PBE.

The structure in extended XYZ format:
```
10
Lattice="4.870 0.000 0.000 0.000 7.077 -0.001 0.000 -3.538 6.130" Properties=species:S:1:pos:R:3 pbc="T T T"
Sc 3.653 -1.576 4.997
Sc 3.653 0.001 2.265
Sc 1.218 1.961 1.133
Sc 1.218 3.538 3.864
Sc 3.653 1.579 4.995
Sc 1.218 5.116 1.132
Ni 2.435 0.000 0.000
Ni 0.000 0.000 0.000
Hg 1.218 0.003 4.085
Hg 3.653 3.537 2.044
```

## Properties
* total moment: 0.000 μB per atom
* energy above the most stable polymorph in this dataset: 0 meV per atom
* space group: P6_3/mmc
* N(E_F): 1.05 states/eV/atom
* E_form: -0.2876 eV per atom



[8]
ScNiHg after structural relaxation. Source: Alexandria, functional PBE.

The structure in extended XYZ format:
```
3
Lattice="4.481 0.000 0.000 -2.240 3.880 0.000 0.000 0.000 3.144" Properties=species:S:1:pos:R:3 pbc="T T T"
Sc 0.000 2.587 2.093
Hg 0.000 0.000 0.521
Ni 2.240 1.293 0.530
```

## Properties
* total moment: 0.000 μB per atom
* space group: P3m1
* N(E_F): 0.86 states/eV/atom
* E_form: -0.2340 eV per atom



[9]
ScNiHg after structural relaxation. Source: Alexandria, functional PBE.

The structure in extended XYZ format:
```
3
Lattice="-2.321 -2.194 3.167 -2.699 -3.411 -1.147 1.118 -4.218 1.091" Properties=species:S:1:pos:R:3 pbc="T T T"
Hg 0.000 0.000 0.000
Ni -1.951 -4.911 1.555
Sc -2.926 -7.367 2.333
```

## Properties
* total moment: 0.000 μB per atom
* space group: F-43m
* N(E_F): 0.88 states/eV/atom
* E_form: 0.1625 eV per atom



[10]
ScNiHg after structural relaxation. Source: Alexandria, functional PBE.

The structure in extended XYZ format:
```
3
Lattice="-0.680 -3.413 -2.667 3.387 -1.899 -2.037 1.308 -4.011 1.195" Properties=species:S:1:pos:R:3 pbc="T T T"
Sc 0.000 0.000 0.000
Ni 3.011 -6.993 -2.632
Hg 2.007 -4.662 -1.755
```

## Properties
* total moment: 0.000 μB per atom
* space group: F-43m
* N(E_F): 0.75 states/eV/atom
* E_form: -0.2170 eV per atom



[11]
Sc5Ni4Hg after structural relaxation. Source: Alexandria, functional PBE.

The structure in extended XYZ format:
```
10
Lattice="-1.114 0.952 -2.846 2.732 -0.934 -1.382 -6.470 -15.171 -2.542" Properties=species:S:1:pos:R:3 pbc="T T T"
Ni -3.847 -9.020 -1.512
Ni -5.073 -11.896 -1.993
Ni -2.623 -6.150 -1.031
Ni -1.396 -3.275 -0.549
Sc -4.858 -13.280 -4.341
Sc -3.646 -10.437 -3.865
Sc 0.006 -1.873 -2.429
Sc -1.206 -4.715 -2.906
Sc -2.426 -7.576 -3.385
Hg 0.000 0.000 0.000
```

## Properties
* total moment: 0.000 μB per atom
* space group: P4/mmm
* N(E_F): 0.75 states/eV/atom
* E_form: -0.4825 eV per atom



[12]
Sc8Ni2Hg after structural relaxation. Source: Alexandria, functional PBE.

The structure in extended XYZ format:
```
11
Lattice="3.217 0.000 -0.979 -1.652 6.510 -5.429 1.525 -0.006 10.785" Properties=species:S:1:pos:R:3 pbc="T T T"
Sc 0.716 0.600 2.353
Sc -0.438 2.369 -1.440
Sc 3.528 4.134 5.816
Sc 1.142 3.445 3.753
Sc 2.373 5.904 2.023
Sc 1.837 1.271 6.036
Sc 1.947 3.058 0.624
Sc 1.252 5.232 -1.659
Ni 2.845 1.530 3.575
Ni 0.244 4.973 0.802
Hg 1.608 0.000 -0.489
```

## Properties
* total moment: 0.040 μB per atom
* energy above the most stable polymorph in this dataset: 0 meV per atom
* space group: C2/m
* N(E_F): 1.38 states/eV/atom
* E_form: -0.2371 eV per atom



[13]
Sc4NiHg after structural relaxation. Source: Alexandria, functional PBE.

The structure in extended XYZ format:
```
6
Lattice="0.000 3.995 3.995 3.995 0.000 3.995 3.995 3.995 0.000" Properties=species:S:1:pos:R:3 pbc="T T T"
Sc 2.992 2.992 2.992
Sc 4.997 4.997 2.992
Sc 2.992 4.997 4.997
Sc 4.997 2.992 4.997
Ni 0.000 0.000 0.000
Hg 5.992 5.992 5.992
```

## Properties
* total moment: 0.000 μB per atom
* energy above the most stable polymorph in this dataset: 507 meV per atom
* space group: F-43m
* N(E_F): 1.30 states/eV/atom
* E_form: 0.3805 eV per atom



[14]
Sc2Ni2Hg after structural relaxation. Source: Alexandria, functional PBE.

The structure in extended XYZ format:
```
5
Lattice="4.914 0.000 0.000 0.000 4.914 0.000 2.457 2.457 3.796" Properties=species:S:1:pos:R:3 pbc="T T T"
Hg 0.000 0.000 0.000
Ni 4.914 4.914 2.685
Ni 2.457 2.457 1.111
Sc 2.457 4.914 1.898
Sc 4.914 2.457 1.898
```

## Properties
* total moment: 0.000 μB per atom
* space group: I4/mmm
* N(E_F): 0.60 states/eV/atom
* E_form: -0.2762 eV per atom



[15]
Sc3Ni2Hg3 after structural relaxation. Source: Alexandria, functional PBE.

The structure in extended XYZ format:
```
8
Lattice="-1.406 2.966 -0.765 0.101 -1.754 -6.987 -5.720 -1.667 4.050" Properties=species:S:1:pos:R:3 pbc="T T T"
Hg -4.258 -2.592 -2.226
Hg 0.024 -0.425 -1.693
Hg -1.386 -0.404 0.981
Sc -0.644 0.463 -4.446
Sc -4.030 0.513 1.973
Sc -3.054 0.051 -1.611
Ni -1.840 -1.725 -3.308
Ni -3.780 -1.696 0.371
```

## Properties
* total moment: 0.000 μB per atom
* space group: P-62m
* N(E_F): 0.70 states/eV/atom
* E_form: -0.4302 eV per atom



[16]
ScNiHg4 after structural relaxation. Source: Alexandria, functional PBE.

The structure in extended XYZ format:
```
6
Lattice="5.052 -2.126 -1.596 3.841 -1.501 3.947 1.182 -5.515 0.880" Properties=species:S:1:pos:R:3 pbc="T T T"
Hg 3.780 -3.430 1.212
Hg 5.698 -4.180 3.183
Hg 4.370 -6.184 1.652
Hg 6.302 -4.492 0.415
Sc 0.000 0.000 0.000
Ni 7.556 -6.857 2.423
```

## Properties
* total moment: 0.000 μB per atom
* space group: F-43m
* N(E_F): 0.79 states/eV/atom
* E_form: 0.3176 eV per atom



[17]
Sc2NiHg2 after structural relaxation. Source: Alexandria, functional PBE.

The structure in extended XYZ format:
```
10
Lattice="-4.515 -1.019 5.658 -1.740 -6.615 -2.579 2.901 -1.556 2.034" Properties=species:S:1:pos:R:3 pbc="T T T"
Sc -0.348 -2.213 2.484
Sc -3.006 -6.977 2.630
Sc -2.900 -3.842 4.876
Sc -0.454 -5.348 0.237
Hg -1.263 -2.514 -0.122
Hg -3.144 -1.592 3.266
Hg -3.110 -6.042 -0.187
Hg -4.991 -5.120 3.201
Ni 0.000 0.000 0.000
Ni -3.127 -3.817 1.540
```

## Properties
* total moment: 0.000 μB per atom
* space group: P4/mbm
* N(E_F): 0.69 states/eV/atom
* E_form: -0.1419 eV per atom



[18]
Sc3NiHg after structural relaxation. Source: Alexandria, functional PBE.

The structure in extended XYZ format:
```
5
Lattice="-4.559 0.110 1.695 1.690 -0.187 4.559 0.168 4.860 0.137" Properties=species:S:1:pos:R:3 pbc="T T T"
Hg -1.351 2.392 3.195
Sc 0.845 -0.093 2.279
Sc -2.280 0.055 0.847
Sc 0.084 2.430 0.068
Ni 0.000 0.000 0.000
```

## Properties
* total moment: 0.000 μB per atom
* energy above the most stable polymorph in this dataset: 158 meV per atom
* space group: Pm-3m
* N(E_F): 2.34 states/eV/atom
* E_form: -0.1294 eV per atom



[19]
ScNiHg after structural relaxation. Source: Alexandria, functional PBE.

The structure in extended XYZ format:
```
12
Lattice="3.784 0.000 0.000 0.000 8.677 0.000 0.000 0.000 6.617" Properties=species:S:1:pos:R:3 pbc="T T T"
Sc 2.838 1.684 3.519
Sc 0.946 6.993 3.099
Sc 0.946 6.022 6.407
Sc 2.838 2.655 0.210
Ni 0.946 1.287 1.679
Ni 2.838 5.625 1.629
Ni 0.946 3.052 4.988
Ni 2.838 7.390 4.938
Hg 0.946 3.849 2.199
Hg 0.946 0.489 5.508
Hg 2.838 8.188 1.109
Hg 2.838 4.827 4.418
```

## Properties
* total moment: 0.000 μB per atom
* space group: Pnma
* N(E_F): 0.54 states/eV/atom
* E_form: -0.3435 eV per atom



[20]
ScNi2Hg2 after structural relaxation. Source: Alexandria, functional PBE.

The structure in extended XYZ format:
```
5
Lattice="3.705 0.000 0.000 0.000 3.705 0.000 1.852 1.852 6.599" Properties=species:S:1:pos:R:3 pbc="T T T"
Ni 3.705 1.852 3.300
Ni 1.852 3.705 3.300
Hg 3.705 3.705 5.133
Hg 1.852 1.852 1.467
Sc 0.000 0.000 0.000
```

## Properties
* total moment: 0.000 μB per atom
* energy above the most stable polymorph in this dataset: 177 meV per atom
* space group: I4/mmm
* N(E_F): 0.71 states/eV/atom
* E_form: 0.0476 eV per atom



[21]
ScNi2Hg2 after structural relaxation. Source: Alexandria, functional PBE.

The structure in extended XYZ format:
```
10
Lattice="6.710 0.000 0.000 0.000 6.710 0.000 0.000 0.000 3.807" Properties=species:S:1:pos:R:3 pbc="T T T"
Hg 1.143 4.498 1.903
Hg 5.567 2.212 1.903
Hg 4.498 5.567 1.903
Hg 2.212 1.143 1.903
Ni 4.217 0.861 0.000
Ni 0.861 2.494 0.000
Ni 5.849 4.217 0.000
Ni 2.494 5.849 0.000
Sc 0.000 0.000 0.000
Sc 3.355 3.355 0.000
```

## Properties
* total moment: 0.000 μB per atom
* energy above the most stable polymorph in this dataset: 0 meV per atom
* space group: P4/mbm
* N(E_F): 0.61 states/eV/atom
* E_form: -0.1299 eV per atom



[22]
Sc4Ni2Hg after structural relaxation. Source: Alexandria, functional PBE.

The structure in extended XYZ format:
```
7
Lattice="-2.174 2.405 2.768 -4.100 -0.850 0.800 0.439 -5.169 8.118" Properties=species:S:1:pos:R:3 pbc="T T T"
Hg 0.000 0.000 0.000
Ni -5.518 -0.144 5.637
Ni -0.317 -3.470 6.049
Sc -4.763 -1.841 7.706
Sc -1.072 -1.772 3.980
Sc -3.722 0.002 3.639
Sc -2.113 -3.615 8.046
```

## Properties
* total moment: 0.000 μB per atom
* space group: R-3m
* N(E_F): 1.07 states/eV/atom
* E_form: -0.2211 eV per atom



[23]
Sc3NiHg2 after structural relaxation. Source: Alexandria, functional PBE.

The structure in extended XYZ format:
```
12
Lattice="4.781 0.000 0.020 2.391 7.145 0.010 -0.028 0.000 7.012" Properties=species:S:1:pos:R:3 pbc="T T T"
Sc 2.384 0.000 1.657
Sc 2.384 4.646 1.562
Sc 2.369 0.000 5.374
Sc 4.760 2.499 5.479
Sc 4.774 2.499 1.572
Sc 2.369 4.646 5.469
Hg 2.377 2.366 3.516
Hg 4.767 4.779 3.525
Hg -0.014 0.000 3.506
Hg 0.000 0.000 0.000
Ni 2.391 2.269 0.010
Ni 4.781 4.876 0.020
```

## Properties
* total moment: 0.000 μB per atom
* space group: Cmmm
* N(E_F): 0.62 states/eV/atom
* E_form: -0.4243 eV per atom



[24]
Sc2Ni2Hg after structural relaxation. Source: Alexandria, functional PBE.

The structure in extended XYZ format:
```
5
Lattice="-1.877 -1.760 2.479 2.937 -1.802 0.945 2.116 3.342 6.550" Properties=species:S:1:pos:R:3 pbc="T T T"
Ni 2.792 -0.120 4.604
Ni 0.385 -0.100 5.371
Sc 0.914 -0.541 2.883
Sc 2.262 0.321 7.091
Hg 0.000 0.000 0.000
```

## Properties
* total moment: 0.000 μB per atom
* space group: I4/mmm
* N(E_F): 0.62 states/eV/atom
* E_form: -0.2582 eV per atom



[25]
Sc5NiHg4 after structural relaxation. Source: Alexandria, functional PBE.

The structure in extended XYZ format:
```
10
Lattice="-2.797 -1.333 -1.211 -0.561 -1.480 2.926 -9.637 15.007 5.745" Properties=species:S:1:pos:R:3 pbc="T T T"
Hg -3.811 5.935 2.272
Hg -1.794 2.793 1.069
Hg -7.843 12.214 4.676
Hg -5.826 9.072 3.473
Sc -6.498 6.097 3.730
Sc -10.545 12.399 6.143
Sc -4.479 2.954 2.527
Sc -8.516 9.240 4.933
Sc -2.451 -0.205 1.317
Ni 0.000 0.000 0.000
```

## Properties
* total moment: 0.051 μB per atom
* space group: P4/mmm
* N(E_F): 1.25 states/eV/atom
* E_form: -0.4128 eV per atom



[26]
Sc2Ni2Hg after structural relaxation. Source: Alexandria, functional PBE.

The structure in extended XYZ format:
```
5
Lattice="3.353 0.000 0.000 0.000 3.646 -1.036 0.000 0.064 7.156" Properties=species:S:1:pos:R:3 pbc="T T T"
Ni 0.000 2.969 3.515
Ni 0.000 0.741 2.605
Sc 1.676 1.362 4.790
Sc 1.676 2.348 1.329
Hg 0.000 0.000 0.000
```

## Properties
* total moment: 0.000 μB per atom
* space group: Cmmm
* N(E_F): 0.71 states/eV/atom
* E_form: -0.4839 eV per atom